(1)
Material: CeNdOs
Method: DFT, PBE-GGA
State: optimized geometry

Unit cell a=3.5691 b=3.5691 c=6.1601 alpha=106.84 beta=106.84 gamma=90.00
With the nearest neighbours (Å) after each atom.
Atoms (fractional coordinates):
Nd (0.0112, 0.0112, 0.0224)  4 Os 3.18, 5 Ce 3.30-3.43
Os (0.6838, 0.6838, 0.3676)  4 Ce 2.87, 4 Nd 3.18
Ce (0.3050, 0.3050, 0.6100)  4 Os 2.87

Properties
total magnetic moment: 0.00 μB/atom
ΔE to the lowest computed polymorph: 116 meV/atom
symmetry: No. 107
crystal system: tetragonal
E_form: 0.00 eV/atom

---

(2)
Material: Ir3Cl
Method: DFT, PBE-GGA
State: optimized geometry

Unit cell a=4.5890 b=4.5890 c=8.0042 alpha=55.91 beta=55.91 gamma=35.42
With the nearest neighbours (Å) after each atom.
Atoms (fractional coordinates):
Ir (0.5000, 0.5000, 0.5000)  8 Ir 2.63-2.79
Ir (0.6857, 0.6857, 0.6648)  2 Cl 2.58, 7 Ir 2.59-2.79
Ir (0.3143, 0.3143, 0.3352)  2 Cl 2.58, 7 Ir 2.59-2.79
Cl (0.0000, 0.0000, 0.0000)  4 Ir 2.58, 2 Cl 2.79

Properties
total magnetic moment: 0.00 μB/atom
ΔE to the lowest computed polymorph: 112 meV/atom
formation energy without anion corrections: 2.321 eV/f.u.
symmetry: No. 12
crystal system: monoclinic

---

(3)
Material: Re2SnPdCl
Method: DFT, PBE-GGA
State: optimized geometry

Unit cell a=5.1462 b=5.0505 c=5.1462 alpha=90.00 beta=90.00 gamma=90.00
With the nearest neighbours (Å) after each atom.
Atoms (fractional coordinates):
Re (0.0000, 0.0000, 0.5000)  2 Pd 2.57
Re (0.5000, 0.0000, 0.0000)  2 Pd 2.57
Sn (0.0000, 0.5000, 0.0000)  2 Pd 2.53
Pd (0.0000, 0.0000, 0.0000)  2 Sn 2.53, 4 Re 2.57
Cl (0.5000, 0.5000, 0.5000)  8 Re 3.61, 4 Sn 3.64

Properties
total magnetic moment: 1.69 μB/atom
formation energy without anion corrections: 9.478 eV/f.u.
symmetry: No. 123
crystal system: tetragonal

---

(4)
Material: GaHW2I
Method: DFT, PBE-GGA
State: optimized geometry

Unit cell a=4.9566 b=3.2897 c=4.9566 alpha=90.00 beta=90.00 gamma=90.00
With the nearest neighbours (Å) after each atom.
Atoms (fractional coordinates):
I (0.5000, 0.5000, 0.5000)  8 W 2.97, 2 I 3.29
H (0.0000, 0.5000, 0.0000)  2 Ga 1.64
Ga (0.0000, 0.0000, 0.0000)  2 H 1.64
W (0.0000, 0.0000, 0.5000)  2 Ga 2.48
W (0.5000, 0.0000, 0.0000)  2 Ga 2.48

Properties
total magnetic moment: 0.00 μB/atom
calculated total energy: -5.2183 eV per atom
symmetry: No. 123
crystal system: tetragonal

---

(5)
Material: ZnIn2Cu8
Method: DFT, PBE-GGA
State: optimized geometry

Unit cell a=3.5350 b=8.0825 c=7.0789 alpha=124.81 beta=104.46 gamma=90.00
With the nearest neighbours (Å) after each atom.
Atoms (fractional coordinates):
Zn (0.5000, 0.0000, 0.0000)  12 Cu 2.53-2.67
Cu (0.6687, 0.9330, 0.3375)  7 Cu 2.53-2.77, 1 Zn 2.67, 2 In 2.79
Cu (0.3313, 0.5955, 0.6625)  7 Cu 2.53-2.77, 1 Zn 2.67, 2 In 2.79
Cu (0.1717, 0.1717, 0.3433)  2 Zn 2.60, 8 Cu 2.60-2.77, 2 In 2.75
Cu (0.0000, 0.2239, 0.0000)  2 Zn 2.53, 6 Cu 2.57-2.62, 2 In 2.70
Cu (0.8283, 0.8283, 0.6567)  2 Zn 2.60, 8 Cu 2.60-2.77, 2 In 2.75
Cu (0.6687, 0.4045, 0.3375)  7 Cu 2.53-2.77, 1 Zn 2.67, 2 In 2.79
Cu (0.3313, 0.0670, 0.6625)  7 Cu 2.53-2.77, 1 Zn 2.67, 2 In 2.79
Cu (0.0000, 0.7761, 0.0000)  2 Zn 2.53, 6 Cu 2.57-2.62, 2 In 2.70
In (0.1375, 0.6375, 0.2751)  10 Cu 2.70-2.87
In (0.8625, 0.3625, 0.7249)  10 Cu 2.70-2.87

Properties
total magnetic moment: 0.00 μB/atom
symmetry: No. 71
crystal system: orthorhombic
E_form: 0.00 eV/atom

---

(6)
Material: BaNa2Pb2
Method: DFT, PBE-GGA
State: optimized geometry

Unit cell a=9.3017 b=9.3017 c=4.0967 alpha=90.00 beta=90.00 gamma=90.00
With the nearest neighbours (Å) after each atom.
Atoms (fractional coordinates):
Pb (0.3777, 0.8777, 0.0000)  1 Pb 3.22, 6 Na 3.39-3.47
Pb (0.8777, 0.6223, 0.0000)  1 Pb 3.22, 6 Na 3.39-3.47
Pb (0.6223, 0.1223, 0.0000)  1 Pb 3.22, 6 Na 3.39-3.47
Pb (0.1223, 0.3777, 0.0000)  1 Pb 3.22, 6 Na 3.39-3.47
Na (0.1653, 0.6653, 0.5000)  6 Pb 3.39-3.47
Na (0.6653, 0.8347, 0.5000)  6 Pb 3.39-3.47
Na (0.8347, 0.3347, 0.5000)  6 Pb 3.39-3.47
Na (0.3347, 0.1653, 0.5000)  6 Pb 3.39-3.47
Ba (0.0000, 0.0000, 0.0000)  4 Pb 3.69, 8 Na 4.03, 2 Ba 4.10
Ba (0.5000, 0.5000, 0.0000)  4 Pb 3.69, 8 Na 4.03, 2 Ba 4.10

Properties
total magnetic moment: 0.00 μB/atom
ΔE to the lowest computed polymorph: 119 meV/atom
symmetry: No. 127
crystal system: tetragonal
E_form: -0.18 eV/atom

---

(7)
Material: TeOs2Se
Method: DFT, PBE-GGA
State: optimized geometry

Unit cell a=4.5856 b=4.5856 c=3.2472 alpha=90.00 beta=90.00 gamma=90.15
With the nearest neighbours (Å) after each atom.
Atoms (fractional coordinates):
Os (0.0000, 0.0000, 0.0000)  4 Se 2.81, 4 Te 2.81
Os (0.5000, 0.5000, 0.0000)  4 Te 2.81, 4 Se 2.81
Se (0.5000, 0.0000, 0.5000)  8 Os 2.81
Te (0.0000, 0.5000, 0.5000)  8 Os 2.81

Properties
total magnetic moment: 0.00 μB/atom
ΔE to the lowest computed polymorph: 564 meV/atom
formation energy without anion corrections: 3.738 eV/f.u.
symmetry: No. 65
crystal system: orthorhombic

---

(8)
Material: BaGd2Co
Method: DFT, PBE-GGA
State: optimized geometry

Unit cell a=3.9042 b=3.9042 c=10.7899 alpha=79.58 beta=79.58 gamma=60.00
With the nearest neighbours (Å) after each atom.
Atoms (fractional coordinates):
Gd (0.1208, 0.1208, 0.6377)  3 Co 2.68
Gd (0.8792, 0.8792, 0.3623)  3 Co 2.68
Co (0.5000, 0.5000, 0.5000)  6 Gd 2.68
Ba (0.0000, 0.0000, 0.0000)  2 Gd 3.82, 6 Ba 3.90

Properties
total magnetic moment: 3.55 μB/atom
symmetry: No. 166
crystal system: trigonal
E_form: 0.07 eV/atom

---

(9)
Material: TaV4Mo5
Method: DFT, PBE-GGA
State: optimized geometry

Unit cell a=3.1091 b=3.1091 c=15.5294 alpha=90.00 beta=90.00 gamma=90.00
With the nearest neighbours (Å) after each atom.
Atoms (fractional coordinates):
Ta (0.0000, 0.0000, 0.0000)  8 Mo 2.76
V (0.0000, 0.0000, 0.2050)  8 Mo 2.67-2.68
V (0.0000, 0.0000, 0.4019)  8 Mo 2.67
V (0.0000, 0.0000, 0.5981)  8 Mo 2.67
V (0.0000, 0.0000, 0.7950)  8 Mo 2.67-2.68
Mo (0.5000, 0.5000, 0.1078)  4 V 2.67, 4 Ta 2.76
Mo (0.5000, 0.5000, 0.3041)  8 V 2.67-2.68
Mo (0.5000, 0.5000, 0.5000)  8 V 2.67
Mo (0.5000, 0.5000, 0.6959)  8 V 2.67-2.68
Mo (0.5000, 0.5000, 0.8922)  4 V 2.67, 4 Ta 2.76

Properties
total magnetic moment: 0.00 μB/atom
symmetry: No. 123
crystal system: tetragonal
E_form: -0.13 eV/atom

---

(10)
Material: LuThTe
Method: DFT, PBE-GGA
State: optimized geometry

Unit cell a=3.7977 b=5.1937 c=5.1937 alpha=120.00 beta=90.00 gamma=90.00
With the nearest neighbours (Å) after each atom.
Atoms (fractional coordinates):
Lu (0.5054, 0.6667, 0.3333)  3 Te 3.00
Te (0.4879, 0.3333, 0.6667)  3 Lu 3.00
Th (0.0067, 0.0000, 0.0000)  6 Te 3.51-3.59, 6 Lu 3.55, 2 Th 3.80

Properties
total magnetic moment: 0.00 μB/atom
ΔE to the lowest computed polymorph: 239 meV/atom
formation energy without anion corrections: -1.096 eV/f.u.
symmetry: No. 156
crystal system: trigonal

---

(11)
Material: Er5TmPt4
Method: DFT, PBE-GGA
State: optimized geometry

Unit cell a=4.1085 b=7.5867 c=9.5009 alpha=113.66 beta=102.49 gamma=90.00
With the nearest neighbours (Å) after each atom.
Atoms (fractional coordinates):
Er (0.8361, 0.5950, 0.6722)  4 Pt 2.77-2.92
Er (0.8361, 0.0777, 0.6722)  4 Pt 2.77-2.92
Er (0.1639, 0.9223, 0.3278)  4 Pt 2.77-2.92
Er (0.5000, 0.5000, 0.0000)  4 Pt 2.78
Er (0.1639, 0.4050, 0.3278)  4 Pt 2.77-2.92
Tm (0.5000, 0.0000, 0.0000)  4 Pt 2.81
Pt (0.2917, 0.7917, 0.5834)  6 Er 2.85-2.92
Pt (0.0000, 0.7474, 0.0000)  4 Er 2.77-2.78, 2 Tm 2.81
Pt (0.7083, 0.2083, 0.4166)  6 Er 2.85-2.92
Pt (0.0000, 0.2526, 0.0000)  4 Er 2.77-2.78, 2 Tm 2.81

Properties
total magnetic moment: 0.00 μB/atom
symmetry: No. 12
crystal system: monoclinic
E_form: -1.03 eV/atom

---

(12)
Material: Ca2AgPdO4
Method: DFT, PBE-GGA
State: optimized geometry

Unit cell a=5.2944 b=5.2944 c=5.2944 alpha=104.88 beta=111.82 gamma=111.82
With the nearest neighbours (Å) after each atom.
Atoms (fractional coordinates):
Ca (0.5000, 0.7500, 0.2500)  4 O 2.25
Ca (0.0000, 0.0000, 0.0000)  4 O 2.36
Ag (0.0000, 0.5000, 0.5000)  4 O 2.38
Pd (0.5000, 0.2500, 0.7500)  4 O 2.01
O (0.4118, 0.4394, 0.4689)  1 Pd 2.01
O (0.0295, 0.9724, 0.5606)  1 Pd 2.01
O (0.9705, 0.5311, 0.9429)  1 Pd 2.01
O (0.5882, 0.0571, 0.0276)  1 Pd 2.01

Properties
total magnetic moment: 0.00 μB/atom
formation energy without anion corrections: -11.746 eV/f.u.
symmetry: No. 82
crystal system: tetragonal